No. 1
Material: Ac4Ag2Ge
Method: DFT, PBE
State: relaxed

Cell: 6.086 6.086 15.266 Å, 90.00 90.00 90.00°
Sites, in units of the cell vectors:
Ac: 0.000 0.000 0.200
Ac: 0.000 0.000 0.800
Ac: 0.000 0.500 0.000
Ac: 0.000 0.500 0.500
Ac: 0.500 0.000 0.000
Ac: 0.500 0.000 0.500
Ac: 0.500 0.500 0.300
Ac: 0.500 0.500 0.700
Ag: 0.000 0.000 0.404
Ag: 0.000 0.000 0.596
Ag: 0.500 0.500 0.096
Ag: 0.500 0.500 0.904
Ge: 0.000 0.000 0.000
Ge: 0.500 0.500 0.500

Results
The formation energy is -0.088 eV/atom. The raw total energy is -27.371 eV per formula unit. As for the total magnetization: 0.000 Bohr magnetons per cell. The crystal system is tetragonal.

No. 2
Material: Ac5Ag2Ge5
Method: DFT, PBE
State: relaxed

Cell: 8.482 8.482 12.365 Å, 129.28 129.28 31.05°
Sites, in units of the cell vectors:
Ac: 0.000 0.000 0.000
Ac: 0.103 0.103 0.417
Ac: 0.192 0.192 0.818
Ac: 0.808 0.808 0.182
Ac: 0.897 0.897 0.583
Ag: 0.355 0.355 0.742
Ag: 0.645 0.645 0.258
Ge: 0.261 0.261 0.331
Ge: 0.431 0.431 0.130
Ge: 0.500 0.500 0.500
Ge: 0.569 0.569 0.870
Ge: 0.739 0.739 0.669

Results
The formation energy is -0.582 eV/atom. The raw total energy is -56.315 eV per formula unit. As for the total magnetization: 0.000 Bohr magnetons per cell. The crystal system is monoclinic.

No. 3
Material: Ac2AgGe3
Method: DFT, PBE
State: relaxed

Cell: 8.927 8.870 6.383 Å, 69.46 68.51 42.03°
Sites, in units of the cell vectors:
Ac: 0.243 0.757 0.243
Ac: 0.250 0.250 0.250
Ac: 0.750 0.750 0.750
Ac: 0.757 0.243 0.757
Ag: 0.334 0.334 0.666
Ag: 0.666 0.666 0.334
Ge: 0.166 0.166 0.834
Ge: 0.168 0.667 0.832
Ge: 0.333 0.832 0.667
Ge: 0.667 0.168 0.333
Ge: 0.832 0.333 0.168
Ge: 0.834 0.834 0.166

Results
As for the polymorph energy (0 for the lowest one): 0 meV per atom. The formation energy is -0.628 eV/atom. The raw total energy is -28.686 eV per formula unit. As for the total magnetization: 0.000 Bohr magnetons per cell. The crystal system is orthorhombic.

No. 4
Material: AcAgGe2
Method: DFT, PBE
State: relaxed

Cell: 4.241 6.202 8.152 Å, 90.00 90.00 90.00°
Sites, in units of the cell vectors:
Ac: 0.000 0.000 0.000
Ac: 0.000 0.500 0.500
Ag: 0.500 0.000 0.423
Ag: 0.500 0.500 0.923
Ge: 0.500 0.196 0.709
Ge: 0.500 0.304 0.209
Ge: 0.500 0.696 0.209
Ge: 0.500 0.804 0.709

Results
As for the polymorph energy (0 for the lowest one): 215 meV per atom. The formation energy is -0.290 eV/atom. The raw total energy is -17.354 eV per formula unit. As for the total magnetization: 0.000 Bohr magnetons per cell. The crystal system is orthorhombic.

No. 5
Material: Ac2Ag6Ge3
Method: DFT, PBE
State: relaxed

Cell: 8.107 8.107 4.424 Å, 90.00 90.00 120.00°
Sites, in units of the cell vectors:
Ac: 0.333 0.667 0.000
Ac: 0.667 0.333 0.000
Ag: 0.000 0.200 0.000
Ag: 0.000 0.708 0.500
Ag: 0.200 0.000 0.000
Ag: 0.292 0.292 0.500
Ag: 0.708 0.000 0.500
Ag: 0.800 0.800 0.000
Ge: 0.000 0.373 0.500
Ge: 0.373 0.000 0.500
Ge: 0.627 0.627 0.500

Results
The formation energy is -0.285 eV/atom. The raw total energy is -42.310 eV per formula unit. As for the total magnetization: 0.000 Bohr magnetons per cell. The crystal system is hexagonal.

No. 6
Material: Ac6AgGe3
Method: DFT, PBE
State: relaxed

Cell: 9.838 9.838 7.840 Å, 90.00 90.00 103.87°
Sites, in units of the cell vectors:
Ac: 0.003 0.997 0.500
Ac: 0.093 0.542 0.963
Ac: 0.246 0.754 0.360
Ac: 0.284 0.361 0.380
Ac: 0.361 0.284 0.880
Ac: 0.458 0.907 0.963
Ac: 0.542 0.093 0.463
Ac: 0.639 0.716 0.380
Ac: 0.716 0.639 0.880
Ac: 0.754 0.246 0.860
Ac: 0.907 0.458 0.463
Ac: 0.997 0.003 0.000
Ag: 0.169 0.831 0.741
Ag: 0.831 0.169 0.241
Ge: 0.070 0.282 0.711
Ge: 0.282 0.070 0.211
Ge: 0.414 0.586 0.088
Ge: 0.586 0.414 0.588
Ge: 0.718 0.930 0.711
Ge: 0.930 0.718 0.211

Results
The formation energy is -0.388 eV/atom. The raw total energy is -45.234 eV per formula unit. As for the total magnetization: 0.000 Bohr magnetons per cell. The crystal system is orthorhombic.

No. 7
Material: Ac5Ag4Ge
Method: DFT, PBE
State: relaxed

Cell: 3.977 3.977 19.441 Å, 90.00 90.00 90.00°
Sites, in units of the cell vectors:
Ac: 0.000 0.000 0.000
Ac: 0.000 0.000 0.203
Ac: 0.000 0.000 0.408
Ac: 0.000 0.000 0.592
Ac: 0.000 0.000 0.797
Ag: 0.500 0.500 0.100
Ag: 0.500 0.500 0.301
Ag: 0.500 0.500 0.699
Ag: 0.500 0.500 0.900
Ge: 0.500 0.500 0.500

Results
The formation energy is -0.323 eV/atom. The raw total energy is -39.793 eV per formula unit. As for the total magnetization: 0.000 Bohr magnetons per cell. The crystal system is tetragonal.

No. 8
Material: Ac3AgGe2
Method: DFT, PBE
State: relaxed

Cell: 7.947 7.947 7.947 Å, 66.26 66.26 66.26°
Sites, in units of the cell vectors:
Ac: 0.046 0.750 0.454
Ac: 0.250 0.546 0.954
Ac: 0.454 0.046 0.750
Ac: 0.546 0.954 0.250
Ac: 0.750 0.454 0.046
Ac: 0.954 0.250 0.546
Ag: 0.000 0.000 0.000
Ag: 0.500 0.500 0.500
Ge: 0.141 0.141 0.141
Ge: 0.359 0.359 0.359
Ge: 0.641 0.641 0.641
Ge: 0.859 0.859 0.859

Results
As for the polymorph energy (0 for the lowest one): 93 meV per atom. The formation energy is -0.473 eV/atom. The raw total energy is -27.247 eV per formula unit. As for the total magnetization: 0.609 Bohr magnetons per cell. The crystal system is trigonal.

Let's list DOS at the Fermi energy in order: 20.30, 7.87, 4.59, 3.56, 4.44, 22.62, 7.80, 13.16 states/eV/cell.